! Ba2NaLiCl | Alexandria via LeMat-Bulk | PBE | optimized geometry; values from VASP
&SYSTEM
  ibrav = 0, nat = 5, ntyp = 4
/
ATOMIC_SPECIES
Ba 137.33 Ba.upf
Na 22.99 Na.upf
Li 6.94 Li.upf
Cl 35.45 Cl.upf
CELL_PARAMETERS angstrom
-0.013 -6.340 -1.653
6.229 0.500 -1.969
1.486 -1.152 4.409
ATOMIC_POSITIONS angstrom
Ba 3.115 0.250 -0.984
Na 3.851 -3.496 0.394
Ba -0.007 -3.170 -0.826
Li 0.743 -0.576 2.204
Cl 0.000 0.000 0.000
! Formation energy from raw total energies ... -612.8 meV/atom
! Density of states at the Fermi level ... 1.201 states/eV/atom
! Space group ... P4/mmm
! Energy above the most stable polymorph in this dataset ... 0 meV/atom



! Ba2NaLiCl6 | Alexandria via LeMat-Bulk | PBE | optimized geometry; values from VASP
&SYSTEM
  ibrav = 0, nat = 20, ntyp = 4
/
ATOMIC_SPECIES
Cl 35.45 Cl.upf
Na 22.99 Na.upf
Ba 137.33 Ba.upf
Li 6.94 Li.upf
CELL_PARAMETERS angstrom
6.928 0.000 -0.021
0.000 7.854 0.000
0.029 0.000 9.976
ATOMIC_POSITIONS angstrom
Cl 4.680 2.432 5.524
Na 0.015 3.927 4.988
Ba 0.214 7.083 2.497
Cl 1.311 1.412 4.476
Cl 4.184 0.205 2.600
Li 0.000 3.927 0.000
Cl 4.789 2.514 9.454
Ba 6.743 0.770 7.458
Cl 2.773 7.649 7.355
Ba 3.264 3.156 2.481
Cl 2.168 5.339 0.501
Cl 5.755 6.359 9.408
Cl 6.222 4.132 2.356
Cl 5.646 6.441 5.479
Cl 2.277 5.422 4.431
Ba 3.693 4.697 7.474
Na 3.464 0.000 -0.011
Li 3.478 0.000 4.977
Cl 1.202 1.495 0.547
Cl 0.734 3.722 7.598
! Formation energy from raw total energies ... -2231.3 meV/atom
! Density of states at the Fermi level ... 0.000 states/eV/atom
! Space group ... P2_1/c



! Ba2NaLiCl | Alexandria via LeMat-Bulk | PBE | optimized geometry; values from VASP
&SYSTEM
  ibrav = 0, nat = 5, ntyp = 4
/
ATOMIC_SPECIES
Ba 137.33 Ba.upf
Na 22.99 Na.upf
Li 6.94 Li.upf
Cl 35.45 Cl.upf
CELL_PARAMETERS angstrom
-1.412 2.420 -5.681
4.766 -3.278 -2.581
-3.376 -4.171 -0.937
ATOMIC_POSITIONS angstrom
Ba 2.383 -1.639 -1.291
Na -1.688 -2.085 -0.469
Li -0.011 -2.514 -4.600
Cl 0.000 0.000 0.000
Ba -0.706 1.210 -2.840
! Formation energy from raw total energies ... -578.7 meV/atom
! Density of states at the Fermi level ... 1.392 states/eV/atom
! Space group ... P4/mmm
! Energy above the most stable polymorph in this dataset ... 34 meV/atom